No. 1
{
  "formula": "PmMgNiSn",
  "functional": "PBE-GGA",
  "state": "optimized geometry",
  "spacegroup": "F-43m",
  "m_tot_mub_per_fu": 0.00,
  "formation_enthalpy_0k_ev_per_fu": -1.17,
  "energy_ev_per_fu": -17.3,
  "cell": [[0.0000, 3.4364, 3.4364], [3.4364, 0.0000, 3.4364], [3.4364, 3.4364, 0.0000]],
  "species": ["Pm", "Mg", "Ni", "Sn"],
  "fractional_positions": [[0.0000, 0.0000, 0.0000], [0.2500, 0.2500, 0.2500], [0.7500, 0.7500, 0.7500], [0.5000, 0.5000, 0.5000]]
}

***

No. 2
{
  "formula": "NbReSi",
  "functional": "PBE-GGA",
  "state": "optimized geometry",
  "spacegroup": "Ima2",
  "m_tot_mub_per_fu": 0.00,
  "formation_energy_uncorrected_ev_per_atom": -0.522,
  "energy_ev_per_fu": -29.5,
  "cell": [[-3.4834, 5.8266, 3.3722], [3.4834, -5.8266, 3.3722], [3.4834, 5.8266, -3.3722]],
  "species": ["Nb", "Nb", "Nb", "Nb", "Nb", "Nb", "Re", "Re", "Re", "Re", "Re", "Re", "Si", "Si", "Si", "Si", "Si", "Si"],
  "fractional_positions": [[0.0036, 0.2500, 0.2536], [0.1703, 0.1319, 0.5384], [0.1879, 0.6337, 0.0541], [0.5796, 0.1337, 0.9459], [0.5934, 0.6319, 0.4616], [0.9964, 0.7500, 0.7464], [0.3378, 0.3378, 0.0000], [0.3378, 0.8378, 0.5000], [0.5887, 0.1821, 0.3403], [0.5887, 0.7484, 0.9066], [0.8418, 0.2484, 0.6597], [0.8418, 0.6821, 0.0934], [0.2544, 0.0831, 0.1643], [0.2544, 0.5901, 0.6714], [0.5754, 0.3498, 0.7256], [0.6242, 0.8498, 0.2744], [0.9187, 0.0901, 0.8357], [0.9187, 0.5831, 0.3286]]
}